{"formula": "La2TaN4", "functional": "PBE", "state": "optimized geometry", "lattice_angstrom": [[-2.0477, 2.0477, 6.3304], [2.0477, -2.0477, 6.3304], [2.0477, 2.0477, -6.3304]], "species": ["La", "La", "Ta", "N", "N", "N", "N"], "fractional_positions": [[0.1441, 0.1441, 0.0000], [0.8559, 0.8559, 0.0000], [0.5000, 0.5000, 0.0000], [0.0000, 0.5000, 0.5000], [0.3323, 0.3323, 0.0000], [0.5000, 0.0000, 0.5000], [0.6677, 0.6677, 0.0000]], "mass_density_kg_m3": 8051, "e_tot_ev_per_atom": -9.062, "raw_formation_energy_mev_per_atom": -1203}

=====

{"formula": "LaTaN3", "functional": "PBE", "state": "optimized geometry", "lattice_angstrom": [[4.1352, 0.0000, 0.0000], [0.0000, 6.4983, 0.0000], [-0.0903, 0.0000, 5.9859]], "species": ["La", "La", "Ta", "Ta", "N", "N", "N", "N", "N", "N"], "fractional_positions": [[0.0246, 0.2500, 0.2837], [0.9754, 0.7500, 0.7163], [0.4847, 0.7500, 0.1814], [0.5153, 0.2500, 0.8186], [0.3138, 0.0009, 0.0046], [0.3138, 0.4991, 0.0046], [0.4651, 0.7500, 0.4928], [0.5349, 0.2500, 0.5072], [0.6862, 0.5009, 0.9954], [0.6862, 0.9991, 0.9954]], "mass_density_kg_m3": 7472, "e_tot_ev_per_atom": -8.996, "raw_formation_energy_mev_per_atom": -645}